This record from Alexandria via LeMat-Bulk describes a relaxed Be2SiTc crystal. The functional is PBE.

N(E_F) = 2.39 states/eV/f.u.
ΔE_f (raw) = 212 meV/atom
total moment = 0.00 μB/f.u.
crystal system = trigonal

CIF file:
```
data_Be2SiTc
_cell_length_a 7.6397
_cell_length_b 7.6397
_cell_length_c 7.6397
_cell_angle_alpha 20.56
_cell_angle_beta 20.56
_cell_angle_gamma 20.56
_space_group_name_H-M_alt 'P 1'
_space_group_IT_number 1
loop_
_space_group_symop_operation_xyz
'x,y,z'
loop_
_atom_site_label
_atom_site_fract_x
_atom_site_fract_y
_atom_site_fract_z
Be1 0.0000 0.0000 0.0000
Be2 0.2552 0.2552 0.2552
Si1 0.5056 0.5056 0.5056
Tc1 0.7512 0.7512 0.7512
```

---

This record from Alexandria via LeMat-Bulk describes a relaxed BeSi2Tc crystal. The functional is PBE.

N(E_F) = 1.85 states/eV/f.u.
ΔE_f (raw) = -134 meV/atom
total moment = 0.00 μB/f.u.
crystal system = orthorhombic

CIF file:
```
data_BeSi2Tc
_cell_length_a 4.5367
_cell_length_b 4.5367
_cell_length_c 4.5367
_cell_angle_alpha 139.19
_cell_angle_beta 126.55
_cell_angle_gamma 69.36
_space_group_name_H-M_alt 'P 1'
_space_group_IT_number 1
loop_
_space_group_symop_operation_xyz
'x,y,z'
loop_
_atom_site_label
_atom_site_fract_x
_atom_site_fract_y
_atom_site_fract_z
Be1 0.0000 0.0000 0.0000
Si1 0.2335 0.7335 0.5000
Si2 0.7665 0.2665 0.5000
Tc1 0.5000 0.5000 0.0000
```

---

This record from Alexandria via LeMat-Bulk describes a relaxed BeSiTc2 crystal. The functional is PBE.

N(E_F) = 2.91 states/eV/f.u.
ΔE_f (raw) = -75 meV/atom
total moment = 0.00 μB/f.u.
polymorph energy (0 for the lowest one) = 0.289 eV/atom
crystal system = monoclinic

CIF file:
```
data_BeSiTc2
_cell_length_a 2.7127
_cell_length_b 3.8319
_cell_length_c 5.0074
_cell_angle_alpha 90.00
_cell_angle_beta 97.04
_cell_angle_gamma 90.00
_space_group_name_H-M_alt 'P 1'
_space_group_IT_number 1
loop_
_space_group_symop_operation_xyz
'x,y,z'
loop_
_atom_site_label
_atom_site_fract_x
_atom_site_fract_y
_atom_site_fract_z
Be1 0.0000 0.0000 0.0000
Si1 0.5000 0.0000 0.5000
Tc1 0.2704 0.5000 0.7576
Tc2 0.7296 0.5000 0.2424
```

---

This record from Alexandria via LeMat-Bulk describes a relaxed BeSi4Tc crystal. The functional is PBE.

N(E_F) = 4.67 states/eV/f.u.
ΔE_f (raw) = 534 meV/atom
total moment = 0.00 μB/f.u.
crystal system = cubic

CIF file:
```
data_BeSi4Tc
_cell_length_a 4.8229
_cell_length_b 4.8229
_cell_length_c 4.8229
_cell_angle_alpha 60.00
_cell_angle_beta 60.00
_cell_angle_gamma 60.00
_space_group_name_H-M_alt 'P 1'
_space_group_IT_number 1
loop_
_space_group_symop_operation_xyz
'x,y,z'
loop_
_atom_site_label
_atom_site_fract_x
_atom_site_fract_y
_atom_site_fract_z
Be1 0.0000 0.0000 0.0000
Si1 0.1241 0.6253 0.6253
Si2 0.6253 0.1241 0.6253
Si3 0.6253 0.6253 0.1241
Si4 0.6253 0.6253 0.6253
Tc1 0.2500 0.2500 0.2500
```

---

This record from Alexandria via LeMat-Bulk describes a relaxed Be3SiTc crystal. The functional is PBE.

N(E_F) = 1.39 states/eV/f.u.
ΔE_f (raw) = -37 meV/atom
total moment = 0.00 μB/f.u.
polymorph energy (0 for the lowest one) = 0.000 eV/atom
crystal system = monoclinic

CIF file:
```
data_Be3SiTc
_cell_length_a 5.7125
_cell_length_b 5.7125
_cell_length_c 7.2151
_cell_angle_alpha 122.35
_cell_angle_beta 122.35
_cell_angle_gamma 32.32
_space_group_name_H-M_alt 'P 1'
_space_group_IT_number 1
loop_
_space_group_symop_operation_xyz
'x,y,z'
loop_
_atom_site_label
_atom_site_fract_x
_atom_site_fract_y
_atom_site_fract_z
Be1 0.0715 0.0715 0.4428
Be2 0.2616 0.2616 0.4128
Be3 0.4029 0.4029 0.2944
Be4 0.5971 0.5971 0.7056
Be5 0.7384 0.7384 0.5872
Be6 0.9285 0.9285 0.5572
Si1 0.4167 0.4167 0.7915
Si2 0.5833 0.5833 0.2085
Tc1 0.1377 0.1377 0.9950
Tc2 0.8623 0.8623 0.0050
```

---

This record from Alexandria via LeMat-Bulk describes a relaxed Be17SiTc crystal. The functional is PBE.

N(E_F) = 3.86 states/eV/f.u.
ΔE_f (raw) = -16 meV/atom
total moment = 0.00 μB/f.u.
crystal system = trigonal

CIF file:
```
data_Be17SiTc
_cell_length_a 5.5403
_cell_length_b 5.5403
_cell_length_c 5.5403
_cell_angle_alpha 81.33
_cell_angle_beta 81.33
_cell_angle_gamma 81.33
_space_group_name_H-M_alt 'P 1'
_space_group_IT_number 1
loop_
_space_group_symop_operation_xyz
'x,y,z'
loop_
_atom_site_label
_atom_site_fract_x
_atom_site_fract_y
_atom_site_fract_z
Be1 0.0574 0.0574 0.0574
Be2 0.1498 0.1498 0.6579
Be3 0.1498 0.6579 0.1498
Be4 0.1604 0.4639 0.8457
Be5 0.1604 0.8457 0.4639
Be6 0.2550 0.2550 0.2550
Be7 0.3137 0.8199 0.8199
Be8 0.4639 0.1604 0.8457
Be9 0.4639 0.8457 0.1604
Be10 0.5020 0.5020 0.9960
Be11 0.5020 0.9960 0.5020
Be12 0.6579 0.1498 0.1498
Be13 0.8199 0.3137 0.8199
Be14 0.8199 0.8199 0.3137
Be15 0.8457 0.1604 0.4639
Be16 0.8457 0.4639 0.1604
Be17 0.9960 0.5020 0.5020
Si1 0.5673 0.5673 0.5673
Tc1 0.8218 0.8218 0.8218
```

---

This record from Alexandria via LeMat-Bulk describes a relaxed BeSi2Tc crystal. The functional is PBE.

N(E_F) = 2.06 states/eV/f.u.
ΔE_f (raw) = 32 meV/atom
total moment = 0.00 μB/f.u.
crystal system = orthorhombic

CIF file:
```
data_BeSi2Tc
_cell_length_a 4.2108
_cell_length_b 4.2108
_cell_length_c 2.9560
_cell_angle_alpha 90.00
_cell_angle_beta 90.00
_cell_angle_gamma 107.48
_space_group_name_H-M_alt 'P 1'
_space_group_IT_number 1
loop_
_space_group_symop_operation_xyz
'x,y,z'
loop_
_atom_site_label
_atom_site_fract_x
_atom_site_fract_y
_atom_site_fract_z
Be1 0.0000 0.0000 0.0000
Si1 0.0000 0.5000 0.5000
Si2 0.5000 0.0000 0.5000
Tc1 0.5000 0.5000 0.0000
```

---

This record from Alexandria via LeMat-Bulk describes a relaxed BeSiTc2 crystal. The functional is PBE.

N(E_F) = 3.72 states/eV/f.u.
ΔE_f (raw) = 6 meV/atom
total moment = 0.00 μB/f.u.
polymorph energy (0 for the lowest one) = 0.370 eV/atom
crystal system = orthorhombic

CIF file:
```
data_BeSiTc2
_cell_length_a 2.7296
_cell_length_b 2.7296
_cell_length_c 7.5340
_cell_angle_alpha 90.00
_cell_angle_beta 90.00
_cell_angle_gamma 113.12
_space_group_name_H-M_alt 'P 1'
_space_group_IT_number 1
loop_
_space_group_symop_operation_xyz
'x,y,z'
loop_
_atom_site_label
_atom_site_fract_x
_atom_site_fract_y
_atom_site_fract_z
Be1 0.0000 0.0000 0.0000
Si1 0.0000 0.0000 0.5000
Tc1 0.5000 0.5000 0.2435
Tc2 0.5000 0.5000 0.7565
```

---

This record from Alexandria via LeMat-Bulk describes a relaxed BeSiTc2 crystal. The functional is PBE.

N(E_F) = 1.01 states/eV/f.u.
ΔE_f (raw) = -364 meV/atom
total moment = 0.00 μB/f.u.
polymorph energy (0 for the lowest one) = 0.000 eV/atom
crystal system = tetragonal

CIF file:
```
data_BeSiTc2
_cell_length_a 2.9635
_cell_length_b 2.9635
_cell_length_c 5.6017
_cell_angle_alpha 90.00
_cell_angle_beta 90.00
_cell_angle_gamma 90.00
_space_group_name_H-M_alt 'P 1'
_space_group_IT_number 1
loop_
_space_group_symop_operation_xyz
'x,y,z'
loop_
_atom_site_label
_atom_site_fract_x
_atom_site_fract_y
_atom_site_fract_z
Be1 0.0000 0.0000 0.0000
Si1 0.5000 0.5000 0.2200
Tc1 0.0000 0.0000 0.4762
Tc2 0.5000 0.5000 0.7739
```

---

This record from Alexandria via LeMat-Bulk describes a relaxed BeSiTc2 crystal. The functional is PBE.

N(E_F) = 2.11 states/eV/f.u.
ΔE_f (raw) = -226 meV/atom
total moment = 0.00 μB/f.u.
polymorph energy (0 for the lowest one) = 0.138 eV/atom
crystal system = monoclinic

CIF file:
```
data_BeSiTc2
_cell_length_a 4.5525
_cell_length_b 4.5525
_cell_length_c 4.1886
_cell_angle_alpha 106.03
_cell_angle_beta 106.03
_cell_angle_gamma 36.91
_space_group_name_H-M_alt 'P 1'
_space_group_IT_number 1
loop_
_space_group_symop_operation_xyz
'x,y,z'
loop_
_atom_site_label
_atom_site_fract_x
_atom_site_fract_y
_atom_site_fract_z
Be1 0.0000 0.0000 0.0000
Si1 0.2664 0.2664 0.7036
Tc1 0.5128 0.5128 0.5101
Tc2 0.7458 0.7458 0.1710
```

---

This record from Alexandria via LeMat-Bulk describes a relaxed BeSiTc2 crystal. The functional is PBE.

N(E_F) = 2.88 states/eV/f.u.
ΔE_f (raw) = -80 meV/atom
total moment = 0.00 μB/f.u.
polymorph energy (0 for the lowest one) = 0.285 eV/atom
crystal system = orthorhombic

CIF file:
```
data_BeSiTc2
_cell_length_a 4.6327
_cell_length_b 4.6327
_cell_length_c 4.6327
_cell_angle_alpha 141.98
_cell_angle_beta 121.88
_cell_angle_gamma 71.58
_space_group_name_H-M_alt 'P 1'
_space_group_IT_number 1
loop_
_space_group_symop_operation_xyz
'x,y,z'
loop_
_atom_site_label
_atom_site_fract_x
_atom_site_fract_y
_atom_site_fract_z
Be1 0.0000 0.0000 0.0000
Si1 0.5000 0.5000 0.0000
Tc1 0.2416 0.7416 0.5000
Tc2 0.7584 0.2584 0.5000
```

---

This record from Alexandria via LeMat-Bulk describes a relaxed BeSi2Tc crystal. The functional is PBE.

N(E_F) = 2.65 states/eV/f.u.
ΔE_f (raw) = 229 meV/atom
total moment = 0.00 μB/f.u.
crystal system = tetragonal

CIF file:
```
data_BeSi2Tc
_cell_length_a 2.7004
_cell_length_b 2.7004
_cell_length_c 7.0025
_cell_angle_alpha 90.00
_cell_angle_beta 90.00
_cell_angle_gamma 90.00
_space_group_name_H-M_alt 'P 1'
_space_group_IT_number 1
loop_
_space_group_symop_operation_xyz
'x,y,z'
loop_
_atom_site_label
_atom_site_fract_x
_atom_site_fract_y
_atom_site_fract_z
Be1 0.0000 0.0000 0.0000
Si1 0.0000 0.0000 0.5190
Si2 0.5000 0.5000 0.2232
Tc1 0.5000 0.5000 0.7739
```